Record 1
DFT (GGA-PBE) results for crystalline Ce2SbAsRh6 at its relaxed geometry.

Cell lengths 5.5077, 8.6155, 8.3977 Å; angles 90.00, 90.00, 90.00 degrees
Atoms (fractional coordinates):
Ce1 0.2500 0.0207 0.2385
Ce2 0.2500 0.4793 0.2385
Ce3 0.7500 0.5207 0.7615
Ce4 0.7500 0.9793 0.7615
Sb1 0.2500 0.2500 0.7747
Sb2 0.7500 0.7500 0.2253
As1 0.2500 0.7500 0.7375
As2 0.7500 0.2500 0.2625
Rh1 0.0009 0.2500 0.0320
Rh2 0.0016 0.2500 0.5045
Rh3 0.2500 0.5013 0.5926
Rh4 0.2500 0.9987 0.5926
Rh5 0.4984 0.2500 0.5045
Rh6 0.4991 0.2500 0.0320
Rh7 0.5009 0.7500 0.9680
Rh8 0.5016 0.7500 0.4955
Rh9 0.7500 0.0013 0.4074
Rh10 0.7500 0.4987 0.4074
Rh11 0.9984 0.7500 0.4955
Rh12 0.9991 0.7500 0.9680

Properties
energy = -0.5194 Ry/atom
magnetization = 0.04 μB per atom
D(E_F) = 7.8 states/eV/f.u.

---

Record 2
DFT (GGA-PBE) results for crystalline Ce2ScAs3Rh4 at its relaxed geometry.

Cell lengths 4.0637, 4.0637, 11.2723 Å; angles 90.00, 90.00, 90.00 degrees
Atoms (fractional coordinates):
Ce1 0.0000 0.5000 0.2328
Ce2 0.5000 0.0000 0.7672
Sc1 0.0000 0.0000 0.5000
As1 0.0000 0.5000 0.8690
As2 0.5000 0.0000 0.1310
As3 0.5000 0.5000 0.5000
Rh1 0.0000 0.0000 0.0000
Rh2 0.0000 0.5000 0.6516
Rh3 0.5000 0.0000 0.3484
Rh4 0.5000 0.5000 0.0000

Properties
energy of formation from the pure elements = -0.986 eV/atom
energy = -0.5249 Ry/atom
magnetization = 0.09 μB per atom
D(E_F) = 11.2 states/eV/f.u.

---

Record 3
DFT (GGA-PBE) results for crystalline Ce3Si2AsRh9 at its relaxed geometry.

Cell lengths 5.6635, 5.6635, 10.2637 Å; angles 90.00, 90.00, 120.00 degrees
Atoms (fractional coordinates):
Ce1 0.0000 0.0000 0.0000
Ce2 0.3333 0.6667 0.7081
Ce3 0.6667 0.3333 0.2919
Si1 0.3333 0.6667 0.1645
Si2 0.6667 0.3333 0.8355
As1 0.0000 0.0000 0.5000
Rh1 0.0000 0.5000 0.0000
Rh2 0.1656 0.3312 0.3258
Rh3 0.1656 0.8344 0.3258
Rh4 0.3312 0.1656 0.6742
Rh5 0.5000 0.0000 0.0000
Rh6 0.5000 0.5000 0.0000
Rh7 0.6688 0.8344 0.3258
Rh8 0.8344 0.1656 0.6742
Rh9 0.8344 0.6688 0.6742

Properties
energy = -0.5329 Ry/atom
magnetization = 0.02 μB per atom
D(E_F) = 11.6 states/eV/f.u.

---

Record 4
DFT (GGA-PBE) results for crystalline Ce2SiAsRh6 at its relaxed geometry.

Cell lengths 5.5672, 5.7094, 7.0555 Å; angles 109.61, 92.54, 118.92 degrees
Atoms (fractional coordinates):
Ce1 0.1748 0.0066 0.2588
Ce2 0.8252 0.9934 0.7412
Si1 0.0000 0.5000 0.5000
As1 0.5000 0.5000 0.0000
Rh1 0.1326 0.5010 0.1844
Rh2 0.3387 0.4473 0.6568
Rh3 0.3489 0.9840 0.7968
Rh4 0.6511 0.0160 0.2032
Rh5 0.6613 0.5527 0.3432
Rh6 0.8674 0.4990 0.8156

Properties
energy = -0.5340 Ry/atom
magnetization = 0.00 μB per atom
D(E_F) = 5.1 states/eV/f.u.

---

Question: What is the D(E_F) in the fourth record?
Answer: 5.1 states/eV/f.u.

---

Please write out number 3 again, unchanged.
DFT (GGA-PBE) results for crystalline Ce3Si2AsRh9 at its relaxed geometry.

Cell lengths 5.6635, 5.6635, 10.2637 Å; angles 90.00, 90.00, 120.00 degrees
Atoms (fractional coordinates):
Ce1 0.0000 0.0000 0.0000
Ce2 0.3333 0.6667 0.7081
Ce3 0.6667 0.3333 0.2919
Si1 0.3333 0.6667 0.1645
Si2 0.6667 0.3333 0.8355
As1 0.0000 0.0000 0.5000
Rh1 0.0000 0.5000 0.0000
Rh2 0.1656 0.3312 0.3258
Rh3 0.1656 0.8344 0.3258
Rh4 0.3312 0.1656 0.6742
Rh5 0.5000 0.0000 0.0000
Rh6 0.5000 0.5000 0.0000
Rh7 0.6688 0.8344 0.3258
Rh8 0.8344 0.1656 0.6742
Rh9 0.8344 0.6688 0.6742

Properties
energy = -0.5329 Ry/atom
magnetization = 0.02 μB per atom
D(E_F) = 11.6 states/eV/f.u.

---

Question: What is the D(E_F) in the first record?
Answer: 7.8 states/eV/f.u.